[1]
Below is a relaxed structure of BaCa4Cu2N4, with properties calculated at the PBE level.

Cell and atoms, written as POSCAR:
```
BaCa4Cu2N4
1.0
-5.645 -4.621 -3.922
5.276 -1.108 -6.288
4.507 -10.248 5.587
Ba Ca Cu N
4 16 8 16
Direct
0.500 0.000 0.656 Ba
0.000 0.500 0.844 Ba
0.500 0.000 0.156 Ba
0.000 0.500 0.344 Ba
0.166 0.881 0.413 Ca
0.881 0.834 0.587 Ca
0.334 0.619 0.587 Ca
0.834 0.119 0.413 Ca
0.166 0.119 0.913 Ca
0.334 0.381 0.087 Ca
0.381 0.666 0.913 Ca
0.834 0.881 0.913 Ca
0.881 0.166 0.087 Ca
0.619 0.334 0.913 Ca
0.619 0.666 0.413 Ca
0.666 0.381 0.587 Ca
0.119 0.166 0.587 Ca
0.381 0.334 0.413 Ca
0.666 0.619 0.087 Ca
0.119 0.834 0.087 Ca
0.153 0.153 0.250 Cu
0.653 0.347 0.250 Cu
0.153 0.847 0.750 Cu
0.847 0.847 0.250 Cu
0.847 0.153 0.750 Cu
0.653 0.653 0.750 Cu
0.347 0.653 0.250 Cu
0.347 0.347 0.750 Cu
0.874 0.180 0.897 N
0.320 0.374 0.897 N
0.626 0.680 0.603 N
0.180 0.126 0.103 N
0.320 0.626 0.397 N
0.180 0.874 0.603 N
0.680 0.626 0.897 N
0.820 0.126 0.603 N
0.820 0.874 0.103 N
0.126 0.180 0.397 N
0.874 0.820 0.397 N
0.680 0.374 0.397 N
0.626 0.320 0.103 N
0.126 0.820 0.897 N
0.374 0.320 0.603 N
0.374 0.680 0.103 N
```

Summary:
E_form (uncorrected) (meV/atom): -629.5

---

[2]
Below is a relaxed structure of BaNa2CaCu, with properties calculated at the PBE level.

Cell and atoms, written as POSCAR:
```
BaNa2CaCu
1.0
-1.267 -2.051 5.263
5.108 -2.718 0.170
2.363 4.588 2.356
Na Ca Ba Cu
2 1 1 1
Direct
0.000 0.500 0.000 Na
0.500 0.000 0.000 Na
0.000 0.000 0.500 Ca
0.500 0.500 0.500 Ba
0.000 0.000 0.000 Cu
```

Summary:
Energy of formation from the pure elements (eV per atom): 0.164

---

[3]
Below is a relaxed structure of Ba2Ca2NdTi2Cu2O12, with properties calculated at the PBE level.

Cell and atoms, written as POSCAR:
```
Ba2Ca2NdTi2Cu2O12
1.0
-1.036 -3.413 1.663
3.786 -0.798 0.721
-2.683 10.215 14.637
Ba Ca Nd Ti Cu O
2 2 1 2 2 12
Direct
0.608 0.608 0.216 Ba
0.392 0.392 0.784 Ba
0.714 0.714 0.428 Ca
0.286 0.286 0.572 Ca
0.500 0.500 0.000 Nd
0.831 0.831 0.662 Ti
0.169 0.169 0.338 Ti
0.947 0.947 0.894 Cu
0.053 0.053 0.106 Cu
0.777 0.777 0.554 O
0.223 0.223 0.446 O
0.888 0.888 0.776 O
0.112 0.112 0.224 O
0.458 0.958 0.915 O
0.542 0.042 0.085 O
0.958 0.458 0.915 O
0.042 0.542 0.085 O
0.331 0.831 0.662 O
0.669 0.169 0.338 O
0.831 0.331 0.662 O
0.169 0.669 0.338 O
```

Summary:
E_form (uncorrected) (meV/atom): -2520.0

---

[4]
Below is a relaxed structure of BaCa2CuO, with properties calculated at the PBE level.

Cell and atoms, written as POSCAR:
```
BaCa2CuO
1.0
4.688 0.000 0.000
0.000 4.688 0.000
0.000 0.000 5.762
O Ca Ba Cu
1 2 1 1
Direct
0.000 0.000 0.000 O
0.000 0.500 0.000 Ca
0.500 0.000 0.000 Ca
0.000 0.000 0.500 Ba
0.500 0.500 0.500 Cu
```

Summary:
E_form (uncorrected) (meV/atom): -1044.3

---

[5]
Below is a relaxed structure of BaCaCu4O8, with properties calculated at the PBE level.

Cell and atoms, written as POSCAR:
```
BaCaCu4O8
1.0
-3.922 3.539 1.058
-0.655 -5.200 1.247
3.063 1.297 7.017
Ba Ca Cu O
1 1 4 8
Direct
0.000 0.000 0.000 Ba
0.000 0.000 0.500 Ca
0.333 0.667 0.760 Cu
0.667 0.333 0.760 Cu
0.333 0.667 0.240 Cu
0.667 0.333 0.240 Cu
0.329 0.329 0.703 O
0.671 0.000 0.703 O
0.000 0.671 0.703 O
0.671 0.671 0.297 O
0.000 0.329 0.297 O
0.329 0.000 0.297 O
0.333 0.667 0.000 O
0.667 0.333 0.000 O
```

Summary:
E_form (uncorrected) (meV/atom): -1031.1

---

[6]
Below is a relaxed structure of Ba2CaSm2Ti3Cu2O14, with properties calculated at the PBE level.

Cell and atoms, written as POSCAR:
```
Ba2CaSm2Ti3Cu2O14
1.0
-3.808 -0.155 -0.760
0.131 -3.882 0.135
-4.077 0.567 20.316
Ba Ca Sm Ti Cu O
2 1 2 3 2 14
Direct
0.500 0.500 0.330 Ba
0.500 0.500 0.670 Ba
0.500 0.500 0.500 Ca
0.500 0.500 0.103 Sm
0.500 0.500 0.897 Sm
0.000 0.000 0.000 Ti
0.000 0.000 0.198 Ti
0.000 0.000 0.802 Ti
0.000 0.000 0.428 Cu
0.000 0.000 0.572 Cu
0.000 0.500 0.178 O
0.000 0.500 0.822 O
0.500 0.000 0.178 O
0.500 0.000 0.822 O
0.000 0.000 0.284 O
0.000 0.000 0.716 O
0.000 0.000 0.092 O
0.000 0.000 0.908 O
0.000 0.500 0.424 O
0.000 0.500 0.576 O
0.500 0.000 0.424 O
0.500 0.000 0.576 O
0.000 0.500 0.000 O
0.500 0.000 0.000 O
```

Summary:
E_form (uncorrected) (meV/atom): -2692.6

---

[7]
Below is a relaxed structure of BaSrCa2TlCu3O9, with properties calculated at the PBE level.

Cell and atoms, written as POSCAR:
```
BaSrCa2TlCu3O9
1.0
-1.091 -1.643 -3.280
-2.730 -1.943 1.881
-10.221 11.854 -2.538
Ba Sr Ca Tl Cu O
1 1 2 1 3 9
Direct
0.500 0.491 0.838 Ba
0.500 0.492 0.169 Sr
0.500 0.492 0.603 Ca
0.500 0.493 0.392 Ca
0.000 0.930 0.008 Tl
0.000 0.992 0.707 Cu
0.000 0.995 0.283 Cu
0.000 0.992 0.497 Cu
0.000 0.001 0.874 O
0.000 0.014 0.142 O
0.000 0.491 0.696 O
0.500 0.991 0.695 O
0.000 0.495 0.296 O
0.500 0.993 0.297 O
0.500 0.570 0.012 O
0.000 0.492 0.496 O
0.500 0.992 0.496 O
```

Summary:
E_form (uncorrected) (meV/atom): -1677.5

---

[8]
Below is a relaxed structure of Ba2Ca3Tl2Cu4O12, with properties calculated at the PBE level.

Cell and atoms, written as POSCAR:
```
Ba2Ca3Tl2Cu4O12
1.0
3.915 0.000 0.000
0.000 3.915 0.000
-1.957 -1.957 21.827
Ba Ca Tl Cu O
2 3 2 4 12
Direct
0.845 0.845 0.690 Ba
0.155 0.155 0.310 Ba
0.074 0.074 0.148 Ca
0.926 0.926 0.852 Ca
0.000 0.000 0.000 Ca
0.724 0.724 0.447 Tl
0.276 0.276 0.553 Tl
0.392 0.392 0.783 Cu
0.537 0.537 0.074 Cu
0.608 0.608 0.217 Cu
0.463 0.463 0.926 Cu
0.463 0.963 0.927 O
0.675 0.675 0.350 O
0.537 0.037 0.073 O
0.963 0.463 0.927 O
0.325 0.325 0.650 O
0.109 0.609 0.218 O
0.750 0.250 0.500 O
0.609 0.109 0.218 O
0.891 0.391 0.782 O
0.037 0.537 0.073 O
0.391 0.891 0.782 O
0.250 0.750 0.500 O
```

Summary:
E_form (uncorrected) (meV/atom): -1582.8
ΔE to the lowest computed polymorph (meV per atom): 0

---

[9]
Below is a relaxed structure of Ba2Ca2Tl2Cu3O10, with properties calculated at the PBE level.

Cell and atoms, written as POSCAR:
```
Ba2Ca2Tl2Cu3O10
1.0
-2.572 -2.647 -1.163
0.293 -1.795 3.438
-12.605 12.669 5.489
Ba Ca Tl Cu O
2 2 2 3 10
Direct
0.858 0.918 0.719 Ba
0.140 0.200 0.282 Ba
0.043 0.103 0.089 Ca
0.955 0.015 0.912 Ca
0.281 0.376 0.563 Tl
0.718 0.813 0.438 Tl
0.584 0.644 0.171 Cu
0.414 0.474 0.830 Cu
0.499 0.559 0.001 Cu
0.085 0.645 0.172 O
0.662 0.716 0.325 O
0.585 0.145 0.172 O
0.224 0.193 0.450 O
0.499 0.059 0.001 O
0.413 0.974 0.829 O
0.337 0.391 0.675 O
0.913 0.474 0.829 O
0.774 0.742 0.550 O
0.999 0.559 0.000 O
```

Summary:
E_form (uncorrected) (meV/atom): -1561.3

---

[10]
Below is a relaxed structure of Ba4Ca4Tl3Cu6O19, with properties calculated at the PBE level.

Cell and atoms, written as POSCAR:
```
Ba4Ca4Tl3Cu6O19
1.0
3.859 0.000 0.000
0.000 3.859 0.000
-1.930 -1.930 34.699
Ba Ca Tl Cu O
4 4 3 6 19
Direct
0.461 0.461 0.923 Ba
0.539 0.539 0.077 Ba
0.308 0.308 0.617 Ba
0.692 0.692 0.383 Ba
0.640 0.640 0.279 Ca
0.592 0.592 0.184 Ca
0.408 0.408 0.816 Ca
0.360 0.360 0.721 Ca
0.767 0.767 0.533 Tl
0.000 0.000 0.000 Tl
0.233 0.233 0.467 Tl
0.838 0.838 0.676 Cu
0.069 0.069 0.138 Cu
0.162 0.162 0.324 Cu
0.931 0.931 0.862 Cu
0.884 0.884 0.767 Cu
0.116 0.116 0.233 Cu
0.071 0.571 0.143 O
0.929 0.429 0.857 O
0.571 0.071 0.143 O
0.796 0.796 0.592 O
0.617 0.117 0.234 O
0.837 0.337 0.675 O
0.264 0.264 0.527 O
0.970 0.970 0.939 O
0.163 0.663 0.325 O
0.883 0.383 0.766 O
0.204 0.204 0.408 O
0.337 0.837 0.675 O
0.117 0.617 0.234 O
0.663 0.163 0.325 O
0.429 0.929 0.857 O
0.030 0.030 0.061 O
0.500 0.500 0.000 O
0.736 0.736 0.473 O
0.383 0.883 0.766 O
```

Summary:
E_form (uncorrected) (meV/atom): -1601.9

---

[11]
Below is a relaxed structure of Ba2Ca3Tl2Cu4O12, with properties calculated at the PBE level.

Cell and atoms, written as POSCAR:
```
Ba2Ca3Tl2Cu4O12
1.0
3.901 -0.078 -0.227
0.064 4.010 -0.031
-0.807 -0.134 22.721
Ba Ca Tl Cu O
2 3 2 4 12
Direct
0.151 0.094 0.656 Ba
0.940 0.970 0.283 Ba
0.848 0.957 0.128 Ca
0.952 0.111 0.836 Ca
0.037 0.126 0.977 Ca
0.504 0.496 0.402 Tl
0.579 0.262 0.528 Tl
0.392 0.464 0.195 Cu
0.061 0.775 0.496 Cu
0.682 0.601 0.733 Cu
0.488 0.620 0.907 Cu
0.191 0.610 0.804 O
0.189 0.602 0.738 O
0.887 0.461 0.184 O
0.489 0.119 0.901 O
0.015 0.886 0.417 O
0.104 0.605 0.573 O
0.391 0.964 0.194 O
0.452 0.473 0.306 O
0.695 0.101 0.731 O
0.558 0.168 0.040 O
0.992 0.624 0.919 O
0.346 0.891 0.059 O
```

Summary:
E_form (uncorrected) (meV/atom): -1387.6
ΔE to the lowest computed polymorph (meV per atom): 195

---

[12]
Below is a relaxed structure of Ba2Ca3TlCu4O11, with properties calculated at the PBE level.

Cell and atoms, written as POSCAR:
```
Ba2Ca3TlCu4O11
1.0
3.849 0.000 0.000
0.000 3.865 0.000
0.000 0.000 19.421
Ba Ca Tl Cu O
2 3 1 4 11
Direct
0.000 0.993 0.638 Ba
0.000 0.993 0.362 Ba
0.000 0.994 0.000 Ca
0.000 0.993 0.829 Ca
0.000 0.993 0.171 Ca
0.500 0.427 0.500 Tl
0.500 0.494 0.745 Cu
0.500 0.494 0.255 Cu
0.500 0.494 0.917 Cu
0.500 0.494 0.083 Cu
0.500 0.994 0.918 O
0.000 0.494 0.918 O
0.500 0.994 0.082 O
0.000 0.494 0.082 O
0.500 0.993 0.755 O
0.000 0.492 0.756 O
0.500 0.993 0.245 O
0.000 0.492 0.244 O
0.500 0.506 0.610 O
0.500 0.506 0.390 O
0.000 0.082 0.500 O
```

Summary:
E_form (uncorrected) (meV/atom): -1680.5

---

[13]
Below is a relaxed structure of Ba2Ca4TlCu5O13, with properties calculated at the PBE level.

Cell and atoms, written as POSCAR:
```
Ba2Ca4TlCu5O13
1.0
-3.016 -1.662 1.729
-1.123 -1.489 -3.389
12.455 -18.462 3.983
Ba Ca Tl Cu O
2 4 1 5 13
Direct
0.000 0.994 0.618 Ba
0.000 0.994 0.382 Ba
0.000 0.997 0.928 Ca
0.000 0.997 0.072 Ca
0.000 0.995 0.781 Ca
0.000 0.995 0.219 Ca
0.500 0.428 0.500 Tl
0.500 0.495 0.710 Cu
0.500 0.495 0.290 Cu
0.500 0.496 0.857 Cu
0.500 0.496 0.143 Cu
0.500 0.497 0.000 Cu
0.500 0.996 0.859 O
0.000 0.496 0.860 O
0.500 0.996 0.141 O
0.000 0.496 0.140 O
0.500 0.507 0.594 O
0.500 0.507 0.406 O
0.500 0.995 0.719 O
0.000 0.494 0.719 O
0.500 0.995 0.281 O
0.000 0.494 0.281 O
0.000 0.083 0.500 O
0.500 0.997 0.000 O
0.000 0.497 0.000 O
```

Summary:
E_form (uncorrected) (meV/atom): -1696.0

---

[14]
Below is a relaxed structure of BaCaCuPd, with properties calculated at the PBE level.

Cell and atoms, written as POSCAR:
```
BaCaCuPd
1.0
5.328 0.000 0.000
2.664 4.614 0.000
2.664 1.538 4.350
Ca Cu Ba Pd
1 1 1 1
Direct
0.250 0.250 0.250 Ca
0.500 0.500 0.500 Cu
0.750 0.750 0.750 Ba
0.000 0.000 0.000 Pd
```

Summary:
Energy of formation from the pure elements (eV per atom): -0.228

---

[15]
Below is a relaxed structure of RbBa2CaCu, with properties calculated at the PBE level.

Cell and atoms, written as POSCAR:
```
RbBa2CaCu
1.0
6.528 0.000 0.000
0.000 6.528 0.000
0.000 0.000 6.006
Ca Cu Ba Rb
1 1 2 1
Direct
0.000 0.000 0.500 Ca
0.000 0.000 0.000 Cu
0.000 0.500 0.000 Ba
0.500 0.000 0.000 Ba
0.500 0.500 0.500 Rb
```

Summary:
Energy of formation from the pure elements (eV per atom): 0.066

---

[16]
Below is a relaxed structure of RbBaCa2Cu, with properties calculated at the PBE level.

Cell and atoms, written as POSCAR:
```
RbBaCa2Cu
1.0
5.996 0.000 0.000
0.000 5.996 0.000
0.000 0.000 6.361
Ca Cu Ba Rb
2 1 1 1
Direct
0.000 0.500 0.000 Ca
0.500 0.000 0.000 Ca
0.000 0.000 0.000 Cu
0.000 0.000 0.500 Ba
0.500 0.500 0.500 Rb
```

Summary:
Energy of formation from the pure elements (eV per atom): 0.074

---

[17]
Below is a relaxed structure of BaCaScCu2, with properties calculated at the PBE level.

Cell and atoms, written as POSCAR:
```
BaCaScCu2
1.0
-4.936 0.525 1.112
-0.099 -5.419 2.118
1.227 1.778 4.606
Sc Ca Ba Cu
1 1 1 2
Direct
0.500 0.500 0.500 Sc
0.000 0.000 0.000 Ca
0.000 0.500 0.000 Ba
0.000 0.000 0.500 Cu
0.500 0.000 0.000 Cu
```

Summary:
Energy of formation from the pure elements (eV per atom): 1.006